Entry 1:
This record from Alexandria describes a relaxed structure of Ho5Ge10Os4. The functional is PBE-GGA.

Structure (CIF):
```
data_Ho5Ge10Os4
_space_group_name_H-M_alt 'P 4/m b m'
_space_group_IT_number 127
_space_group_name_Hall '-P 4 2ab'
_cell_length_a 13.0728
_cell_length_b 13.0728
_cell_length_c 4.3160
_cell_angle_alpha 90.00
_cell_angle_beta 90.00
_cell_angle_gamma 90.00
loop_
_atom_site_label
_atom_site_type_symbol
_atom_site_fract_x
_atom_site_fract_y
_atom_site_fract_z
Ho1 Ho 0.0000 0.0000 0.0000
Ho2 Ho 0.1179 0.3821 0.5000
Ho3 Ho 0.1723 0.6723 0.5000
Ge1 Ge 0.0073 0.8419 0.5000
Ge2 Ge 0.0676 0.5676 0.0000
Ge3 Ge 0.1644 0.1983 0.0000
Os1 Os 0.0184 0.7526 0.0000
```

Values from the calculation:
formation energy from the elements = -52.7 kJ/mol of atoms
magnetic moment = 0.00 μB per cell


Entry 2:
This record from Alexandria describes a relaxed structure of HoGeOs. The functional is PBE-GGA.

Structure (CIF):
```
data_HoGeOs
_space_group_name_H-M_alt 'P m m a'
_space_group_IT_number 51
_space_group_name_Hall '-P 2a 2a'
_cell_length_a 4.9131
_cell_length_b 4.2172
_cell_length_c 6.2688
_cell_angle_alpha 90.00
_cell_angle_beta 90.00
_cell_angle_gamma 90.00
loop_
_atom_site_label
_atom_site_type_symbol
_atom_site_fract_x
_atom_site_fract_y
_atom_site_fract_z
Ho1 Ho 0.2500 0.0000 0.2434
Ge1 Ge 0.2500 0.5000 0.8646
Os1 Os 0.0000 0.5000 0.5000
```

Values from the calculation:
formation energy from the elements = -18.7 kJ/mol of atoms
magnetic moment = 0.00 μB per cell


Entry 3:
This record from Alexandria describes a relaxed structure of HoGe4Os2. The functional is PBE-GGA.

Structure (CIF):
```
data_HoGe4Os2
_space_group_name_H-M_alt 'P n m a'
_space_group_IT_number 62
_space_group_name_Hall '-P 2ac 2n'
_cell_length_a 17.0188
_cell_length_b 4.1920
_cell_length_c 6.8015
_cell_angle_alpha 90.00
_cell_angle_beta 90.00
_cell_angle_gamma 90.00
loop_
_atom_site_label
_atom_site_type_symbol
_atom_site_fract_x
_atom_site_fract_y
_atom_site_fract_z
Ho1 Ho 0.1438 0.2500 0.0391
Ge1 Ge 0.0302 0.7500 0.1352
Ge2 Ge 0.0608 0.2500 0.5152
Ge3 Ge 0.1900 0.7500 0.3131
Ge4 Ge 0.1901 0.7500 0.7473
Os1 Os 0.0399 0.7500 0.7588
Os2 Os 0.2081 0.2500 0.5267
```

Values from the calculation:
formation energy from the elements = -29.1 kJ/mol of atoms
magnetic moment = 0.00 μB per cell


Entry 4:
This record from Alexandria describes a relaxed structure of HoGe2Os. The functional is PBE-GGA.

Structure (CIF):
```
data_HoGe2Os
_space_group_name_H-M_alt 'C m c m'
_space_group_IT_number 63
_space_group_name_Hall '-C 2c 2'
_cell_length_a 4.1821
_cell_length_b 16.2509
_cell_length_c 9.0440
_cell_angle_alpha 90.00
_cell_angle_beta 90.00
_cell_angle_gamma 90.00
loop_
_atom_site_label
_atom_site_type_symbol
_atom_site_fract_x
_atom_site_fract_y
_atom_site_fract_z
Ho1 Ho 0.0000 0.0000 0.0000
Ho2 Ho 0.0000 0.2068 0.2500
Ge1 Ge 0.0000 0.2039 0.5929
Ge2 Ge 0.0000 0.4180 0.2500
Ge3 Ge 0.0000 0.4236 0.7500
Os1 Os 0.0000 0.3583 0.5006
```

Values from the calculation:
formation energy from the elements = -47.8 kJ/mol of atoms
magnetic moment = 0.00 μB per cell


Entry 5:
This record from Alexandria describes a relaxed structure of Ho4Ge6Os7. The functional is PBE-GGA.

Structure (CIF):
```
data_Ho4Ge6Os7
_space_group_name_H-M_alt 'I m -3 m'
_space_group_IT_number 229
_space_group_name_Hall '-I 4 2 3'
_cell_length_a 8.3595
_cell_length_b 8.3595
_cell_length_c 8.3595
_cell_angle_alpha 90.00
_cell_angle_beta 90.00
_cell_angle_gamma 90.00
loop_
_atom_site_label
_atom_site_type_symbol
_atom_site_fract_x
_atom_site_fract_y
_atom_site_fract_z
Ho1 Ho 0.2500 0.2500 0.2500
Ge1 Ge 0.0000 0.0000 0.3109
Os1 Os 0.0000 0.0000 0.0000
Os2 Os 0.0000 0.2500 0.5000
```

Values from the calculation:
formation energy from the elements = -40.5 kJ/mol of atoms
magnetic moment = 0.00 μB per cell


Entry 6:
This record from Alexandria describes a relaxed structure of HoGe12Os4. The functional is PBE-GGA.

Structure (CIF):
```
data_HoGe12Os4
_space_group_name_H-M_alt 'I m -3'
_space_group_IT_number 204
_space_group_name_Hall '-I 2 2 3'
_cell_length_a 8.7455
_cell_length_b 8.7455
_cell_length_c 8.7455
_cell_angle_alpha 90.00
_cell_angle_beta 90.00
_cell_angle_gamma 90.00
loop_
_atom_site_label
_atom_site_type_symbol
_atom_site_fract_x
_atom_site_fract_y
_atom_site_fract_z
Ho1 Ho 0.0000 0.0000 0.0000
Ge1 Ge 0.0000 0.3362 0.1530
Os1 Os 0.2500 0.2500 0.2500
```

Values from the calculation:
formation energy from the elements = 12.0 kJ/mol of atoms
magnetic moment = 0.00 μB per cell


Entry 7:
This record from Alexandria describes a relaxed structure of HoGe2Os. The functional is PBE-GGA.

Structure (CIF):
```
data_HoGe2Os
_space_group_name_H-M_alt 'P m m n'
_space_group_IT_number 59
_cell_length_a 4.1511
_cell_length_b 6.7188
_cell_length_c 5.3623
_cell_angle_alpha 90.00
_cell_angle_beta 90.00
_cell_angle_gamma 90.00
loop_
_space_group_symop_operation_xyz
'x,y,z'
'-x,-y,-z'
'-x+1/2,-y+1/2,z'
'x+1/2,y+1/2,-z'
'x+1/2,-y,-z'
'-x+1/2,y,z'
'-x,y+1/2,-z'
'x,-y+1/2,z'
loop_
_atom_site_label
_atom_site_type_symbol
_atom_site_fract_x
_atom_site_fract_y
_atom_site_fract_z
Ho1 Ho 0.2500 0.2500 0.1396
Ge1 Ge 0.2500 0.0280 0.6763
Os1 Os 0.2500 0.7500 0.3577
```

Values from the calculation:
formation energy from the elements = -41.4 kJ/mol of atoms
magnetic moment = 0.00 μB per cell


Entry 8:
This record from Alexandria describes a relaxed structure of Ho2GeOs. The functional is PBE-GGA.

Structure (CIF):
```
data_Ho2GeOs
_space_group_name_H-M_alt 'P 4/m m m'
_space_group_IT_number 123
_space_group_name_Hall '-P 4 2'
_cell_length_a 3.4641
_cell_length_b 3.4641
_cell_length_c 7.0267
_cell_angle_alpha 90.00
_cell_angle_beta 90.00
_cell_angle_gamma 90.00
loop_
_atom_site_label
_atom_site_type_symbol
_atom_site_fract_x
_atom_site_fract_y
_atom_site_fract_z
Ho1 Ho 0.0000 0.0000 0.2341
Ge1 Ge 0.5000 0.5000 0.5000
Os1 Os 0.5000 0.5000 0.0000
```

Values from the calculation:
formation energy from the elements = -42.8 kJ/mol of atoms
magnetic moment = 0.00 μB per cell


Entry 9:
This record from Alexandria describes a relaxed structure of PmHoGeOs. The functional is PBE-GGA.

Structure (CIF):
```
data_PmHoGeOs
_space_group_name_H-M_alt 'F -4 3 m'
_space_group_IT_number 216
_space_group_name_Hall 'F -4 2 3'
_cell_length_a 7.0593
_cell_length_b 7.0593
_cell_length_c 7.0593
_cell_angle_alpha 90.00
_cell_angle_beta 90.00
_cell_angle_gamma 90.00
loop_
_atom_site_label
_atom_site_type_symbol
_atom_site_fract_x
_atom_site_fract_y
_atom_site_fract_z
Pm1 Pm 0.0000 0.0000 0.0000
Ho1 Ho 0.0000 0.0000 0.5000
Ge1 Ge 0.2500 0.2500 0.2500
Os1 Os 0.2500 0.2500 0.7500
```

Values from the calculation:
formation energy from the elements = -27.5 kJ/mol of atoms
magnetic moment = 0.00 μB per cell


Entry 10:
This record from Alexandria describes a relaxed structure of HoGe2OsRu. The functional is PBE-GGA.

Structure (CIF):
```
data_HoGe2OsRu
_space_group_name_H-M_alt 'I -4 m 2'
_space_group_IT_number 119
_space_group_name_Hall 'I -4 -2'
_cell_length_a 4.2628
_cell_length_b 4.2628
_cell_length_c 9.8632
_cell_angle_alpha 90.00
_cell_angle_beta 90.00
_cell_angle_gamma 90.00
loop_
_atom_site_label
_atom_site_type_symbol
_atom_site_fract_x
_atom_site_fract_y
_atom_site_fract_z
Ho1 Ho 0.0000 0.0000 0.0000
Ge1 Ge 0.0000 0.0000 0.3718
Os1 Os 0.0000 0.5000 0.2500
Ru1 Ru 0.0000 0.5000 0.7500
```

Values from the calculation:
formation energy from the elements = -49.3 kJ/mol of atoms
magnetic moment = 0.00 μB per cell


Entry 11:
This record from Alexandria describes a relaxed structure of Ho2GeP. The functional is PBE-GGA.

Structure (CIF):
```
data_Ho2GeP
_space_group_name_H-M_alt 'R -3 m'
_space_group_IT_number 166
_space_group_name_Hall '-R 3 2"'
_cell_length_a 3.9191
_cell_length_b 3.9191
_cell_length_c 21.2093
_cell_angle_alpha 90.00
_cell_angle_beta 90.00
_cell_angle_gamma 120.00
loop_
_atom_site_label
_atom_site_type_symbol
_atom_site_fract_x
_atom_site_fract_y
_atom_site_fract_z
Ho1 Ho 0.0000 0.0000 0.2434
Ge1 Ge 0.0000 0.0000 0.0000
P1 P 0.0000 0.0000 0.5000
```

Values from the calculation:
energy relative to the lowest polymorph listed for this composition = 0.087 eV per atom
formation energy from the elements = -110.9 kJ/mol of atoms
magnetic moment = 0.00 μB per cell


Entry 12:
This record from Alexandria describes a relaxed structure of Ho2GeP. The functional is PBE-GGA.

Structure (CIF):
```
data_Ho2GeP
_space_group_name_H-M_alt 'C m c m'
_space_group_IT_number 63
_space_group_name_Hall '-C 2c 2'
_cell_length_a 4.1285
_cell_length_b 22.1425
_cell_length_c 3.9544
_cell_angle_alpha 90.00
_cell_angle_beta 90.00
_cell_angle_gamma 90.00
loop_
_atom_site_label
_atom_site_type_symbol
_atom_site_fract_x
_atom_site_fract_y
_atom_site_fract_z
Ho1 Ho 0.0000 0.0668 0.2500
Ho2 Ho 0.0000 0.3123 0.2500
Ge1 Ge 0.0000 0.4577 0.2500
P1 P 0.0000 0.1882 0.2500
```

Values from the calculation:
energy relative to the lowest polymorph listed for this composition = 0.000 eV per atom
formation energy from the elements = -119.3 kJ/mol of atoms
magnetic moment = 0.00 μB per cell


Entry 13:
This record from Alexandria describes a relaxed structure of Ho8Ge5P. The functional is PBE-GGA.

Structure (CIF):
```
data_Ho8Ge5P
_space_group_name_H-M_alt 'I -4'
_space_group_IT_number 82
_space_group_name_Hall 'I -4'
_cell_length_a 8.7229
_cell_length_b 8.7229
_cell_length_c 8.7705
_cell_angle_alpha 90.00
_cell_angle_beta 90.00
_cell_angle_gamma 90.00
loop_
_atom_site_label
_atom_site_type_symbol
_atom_site_fract_x
_atom_site_fract_y
_atom_site_fract_z
Ho1 Ho 0.0654 0.1888 0.3073
Ho2 Ho 0.0679 0.3169 0.9412
Ge1 Ge 0.0000 0.0000 0.0000
Ge2 Ge 0.1245 0.2497 0.6245
P1 P 0.0000 0.5000 0.2500
```

Values from the calculation:
formation energy from the elements = -89.6 kJ/mol of atoms
magnetic moment = 0.00 μB per cell


Entry 14:
This record from Alexandria describes a relaxed structure of Ho2GePPd6. The functional is PBE-GGA.

Structure (CIF):
```
data_Ho2GePPd6
_space_group_name_H-M_alt 'P m m n'
_space_group_IT_number 59
_cell_length_a 5.5503
_cell_length_b 8.6399
_cell_length_c 7.9685
_cell_angle_alpha 90.00
_cell_angle_beta 90.00
_cell_angle_gamma 90.00
loop_
_space_group_symop_operation_xyz
'x,y,z'
'-x,-y,-z'
'-x+1/2,-y+1/2,z'
'x+1/2,y+1/2,-z'
'x+1/2,-y,-z'
'-x+1/2,y,z'
'-x,y+1/2,-z'
'x,-y+1/2,z'
loop_
_atom_site_label
_atom_site_type_symbol
_atom_site_fract_x
_atom_site_fract_y
_atom_site_fract_z
Ho1 Ho 0.2500 0.0134 0.2391
Ge1 Ge 0.2500 0.7500 0.7769
P1 P 0.2500 0.2500 0.7401
Pd1 Pd 0.0007 0.2500 0.4921
Pd2 Pd 0.0021 0.2500 0.9733
Pd3 Pd 0.2500 0.0020 0.6224
```

Values from the calculation:
formation energy from the elements = -71.5 kJ/mol of atoms
magnetic moment = 0.00 μB per cell


Entry 15:
This record from Alexandria describes a relaxed structure of HoGe2P2Pt7. The functional is PBE-GGA.

Structure (CIF):
```
data_HoGe2P2Pt7
_space_group_name_H-M_alt 'C 1 2/m 1'
_space_group_IT_number 12
_space_group_name_Hall '-C 2y'
_cell_length_a 5.5288
_cell_length_b 5.4849
_cell_length_c 15.1175
_cell_angle_alpha 90.00
_cell_angle_beta 100.24
_cell_angle_gamma 90.00
loop_
_atom_site_label
_atom_site_type_symbol
_atom_site_fract_x
_atom_site_fract_y
_atom_site_fract_z
Ho1 Ho 0.0000 0.0000 0.0000
Ge1 Ge 0.2404 0.0000 0.4312
P1 P 0.1169 0.5000 0.2412
Pt1 Pt 0.0000 0.5000 0.0000
Pt2 Pt 0.1770 0.2499 0.8496
Pt3 Pt 0.1824 0.5000 0.3966
```

Values from the calculation:
formation energy from the elements = -58.6 kJ/mol of atoms
magnetic moment = 0.00 μB per cell


Entry 16:
This record from Alexandria describes a relaxed structure of Ho2GePPt6. The functional is PBE-GGA.

Structure (CIF):
```
data_Ho2GePPt6
_space_group_name_H-M_alt 'P m m n'
_space_group_IT_number 59
_cell_length_a 5.5400
_cell_length_b 8.3897
_cell_length_c 8.2898
_cell_angle_alpha 90.00
_cell_angle_beta 90.00
_cell_angle_gamma 90.00
loop_
_space_group_symop_operation_xyz
'x,y,z'
'-x,-y,-z'
'-x+1/2,-y+1/2,z'
'x+1/2,y+1/2,-z'
'x+1/2,-y,-z'
'-x+1/2,y,z'
'-x,y+1/2,-z'
'x,-y+1/2,z'
loop_
_atom_site_label
_atom_site_type_symbol
_atom_site_fract_x
_atom_site_fract_y
_atom_site_fract_z
Ho1 Ho 0.2500 0.0080 0.2355
Ge1 Ge 0.2500 0.7500 0.7789
P1 P 0.2500 0.2500 0.7536
Pt1 Pt 0.0000 0.2500 0.9767
Pt2 Pt 0.0014 0.2500 0.4881
Pt3 Pt 0.2500 0.0048 0.6242
```

Values from the calculation:
formation energy from the elements = -85.4 kJ/mol of atoms
magnetic moment = 0.00 μB per cell


Entry 17:
This record from Alexandria describes a relaxed structure of Ho3GeP2Rh8. The functional is PBE-GGA.

Structure (CIF):
```
data_Ho3GeP2Rh8
_space_group_name_H-M_alt 'P -3 m 1'
_space_group_IT_number 164
_space_group_name_Hall '-P 3 2"'
_cell_length_a 5.4113
_cell_length_b 5.4113
_cell_length_c 9.2975
_cell_angle_alpha 90.00
_cell_angle_beta 90.00
_cell_angle_gamma 120.00
loop_
_atom_site_label
_atom_site_type_symbol
_atom_site_fract_x
_atom_site_fract_y
_atom_site_fract_z
Ho1 Ho 0.0000 0.0000 0.0000
Ho2 Ho 0.3333 0.6667 0.5636
Ge1 Ge 0.0000 0.0000 0.5000
P1 P 0.3333 0.6667 0.0994
Rh1 Rh 0.1648 0.3297 0.2776
Rh2 Rh 0.3333 0.6667 0.8627
```

Values from the calculation:
formation energy from the elements = -71.4 kJ/mol of atoms
magnetic moment = 0.00 μB per cell


Entry 18:
This record from Alexandria describes a relaxed structure of Ho2GePRh6. The functional is PBE-GGA.

Structure (CIF):
```
data_Ho2GePRh6
_space_group_name_H-M_alt 'P m m n'
_space_group_IT_number 59
_cell_length_a 5.7138
_cell_length_b 8.5940
_cell_length_c 7.3861
_cell_angle_alpha 90.00
_cell_angle_beta 90.00
_cell_angle_gamma 90.00
loop_
_space_group_symop_operation_xyz
'x,y,z'
'-x,-y,-z'
'-x+1/2,-y+1/2,z'
'x+1/2,y+1/2,-z'
'x+1/2,-y,-z'
'-x+1/2,y,z'
'-x,y+1/2,-z'
'x,-y+1/2,z'
loop_
_atom_site_label
_atom_site_type_symbol
_atom_site_fract_x
_atom_site_fract_y
_atom_site_fract_z
Ho1 Ho 0.2500 0.0262 0.2243
Ge1 Ge 0.2500 0.7500 0.7915
P1 P 0.2500 0.2500 0.7222
Rh1 Rh 0.0113 0.7500 0.0601
Rh2 Rh 0.0136 0.7500 0.5019
Rh3 Rh 0.2500 0.9996 0.6225
```

Values from the calculation:
formation energy from the elements = -63.6 kJ/mol of atoms
magnetic moment = 0.00 μB per cell


Entry 19:
This record from Alexandria describes a relaxed structure of Ho6Ge2P3S. The functional is PBE-GGA.

Structure (CIF):
```
data_Ho6Ge2P3S
_space_group_name_H-M_alt 'C 1 2/m 1'
_space_group_IT_number 12
_space_group_name_Hall '-C 2y'
_cell_length_a 17.5871
_cell_length_b 3.9536
_cell_length_c 8.1499
_cell_angle_alpha 90.00
_cell_angle_beta 103.64
_cell_angle_gamma 90.00
loop_
_atom_site_label
_atom_site_type_symbol
_atom_site_fract_x
_atom_site_fract_y
_atom_site_fract_z
Ho1 Ho 0.0011 0.0000 0.2463
Ho2 Ho 0.1638 0.5000 0.0916
Ho3 Ho 0.1668 0.5000 0.5756
Ge1 Ge 0.1665 0.0000 0.8326
P1 P 0.0000 0.5000 0.0000
P2 P 0.1645 0.0000 0.3351
S1 S 0.0000 0.5000 0.5000
```

Values from the calculation:
raw formation energy = -16.85 eV/f.u.
magnetic moment = 0.00 μB per cell


The calculated volume results, record by record, are as follows: 19.41 21.65 17.33 19.21 17.18 19.67 18.69 21.08 21.99 17.92 23.51 22.59 23.83 19.11 18.80 19.27 16.84 18.13 22.95 Å³/atom.
The E_tot results, record by record, are as follows: -6.545 -7.002 -6.803 -6.756 -7.750 -6.047 -6.689 -6.694 -6.579 -7.375 -5.945 -6.032 -5.580 -5.775 -6.184 -6.428 -7.024 -6.988 -6.159 eV per atom.
The density of states at the Fermi level results, record by record, are as follows: 22.39 3.81 10.00 16.02 36.43 14.65 4.79 2.15 8.51 4.73 1.95 5.64 14.90 6.72 5.83 9.37 11.48 13.46 7.44 states/eV per cell.